A geometry-optimized CrGeN2O structure, computed with PBE+U.

Values from the calculation:
total moment = 2.1 μB/cell
calculated total energy = -31.47 eV/cell
V = 10.94 Å³ per atom

```
data_CrGeN2O
_space_group_name_H-M_alt 'P 1'
_space_group_IT_number 1
_cell_length_a 3.8295
_cell_length_b 3.8295
_cell_length_c 3.7294
_cell_angle_alpha 90.00
_cell_angle_beta 90.00
_cell_angle_gamma 90.00
loop_
_space_group_symop_operation_xyz
'x,y,z'
loop_
_atom_site_label
_atom_site_fract_x
_atom_site_fract_y
_atom_site_fract_z
_atom_site_occupancy
Cr1 0.5000 0.5000 0.5000 1
Ge1 0.0000 0.0000 0.0000 1
O1 0.0000 0.0000 0.5000 1
N1 0.0000 0.5000 0.0000 1
N2 0.5000 0.0000 0.0000 1
```

=====

A geometry-optimized CrGeNO2 structure, computed with PBE+U.

Values from the calculation:
total moment = 3.0 μB/cell
calculated total energy = -32.03 eV/cell
V = 10.70 Å³ per atom

```
data_CrGeNO2
_space_group_name_H-M_alt 'P 1'
_space_group_IT_number 1
_cell_length_a 3.7037
_cell_length_b 3.7037
_cell_length_c 3.9016
_cell_angle_alpha 90.00
_cell_angle_beta 90.00
_cell_angle_gamma 90.00
loop_
_space_group_symop_operation_xyz
'x,y,z'
loop_
_atom_site_label
_atom_site_fract_x
_atom_site_fract_y
_atom_site_fract_z
_atom_site_occupancy
Cr1 0.5000 0.5000 0.5000 1
Ge1 0.0000 0.0000 0.0000 1
O1 0.0000 0.5000 0.0000 1
O2 0.5000 0.0000 0.0000 1
N1 0.0000 0.0000 0.5000 1
```

=====

A geometry-optimized CrGeN2O structure, computed with PBE+U.

Values from the calculation:
total moment = 0.0 μB/cell
calculated total energy = -30.87 eV/cell
V = 10.81 Å³ per atom

```
data_CrGeN2O
_space_group_name_H-M_alt 'P 1'
_space_group_IT_number 1
_cell_length_a 3.6988
_cell_length_b 3.6988
_cell_length_c 3.9505
_cell_angle_alpha 90.00
_cell_angle_beta 90.00
_cell_angle_gamma 90.00
loop_
_space_group_symop_operation_xyz
'x,y,z'
loop_
_atom_site_label
_atom_site_fract_x
_atom_site_fract_y
_atom_site_fract_z
_atom_site_occupancy
Cr1 0.0000 0.0000 0.0000 1
Ge1 0.5000 0.5000 0.5000 1
O1 0.0000 0.0000 0.5000 1
N1 0.0000 0.5000 0.0000 1
N2 0.5000 0.0000 0.0000 1
```